No. 1
Density functional theory data (GGA-PBE) for a relaxed P4Se3 crystal. Values from VASP.

The spin magnetization is 0.000 μB/atom. For the energy above the most stable polymorph in this dataset, the calculation gives 0 meV per atom.

The structure in Quantum ESPRESSO input format:
```
&SYSTEM
  ibrav = 0, nat = 56, ntyp = 2
/
ATOMIC_SPECIES
Se 78.96 Se.upf
P 30.97 P.upf
CELL_PARAMETERS angstrom
-7.621 -1.907 7.071
8.401 -1.363 8.688
-0.801 14.501 3.049
ATOMIC_POSITIONS crystal
Se 0.914 0.546 0.131
Se 0.414 0.954 0.631
Se 0.086 0.954 0.631
Se 0.250 0.162 0.521
Se 0.750 0.546 0.641
Se 0.414 0.656 0.476
Se 0.414 0.454 0.869
Se 0.586 0.046 0.369
Se 0.250 0.954 0.141
Se 0.914 0.844 0.976
Se 0.586 0.344 0.524
Se 0.086 0.454 0.869
Se 0.086 0.656 0.476
Se 0.586 0.844 0.976
Se 0.914 0.046 0.369
Se 0.914 0.344 0.524
Se 0.414 0.156 0.024
Se 0.250 0.454 0.359
Se 0.750 0.046 0.859
Se 0.750 0.838 0.479
Se 0.750 0.338 0.021
Se 0.250 0.662 0.979
Se 0.586 0.546 0.131
Se 0.086 0.156 0.024
P 0.250 0.038 0.004
P 0.144 0.075 0.739
P 0.856 0.925 0.261
P 0.750 0.790 0.332
P 0.644 0.266 0.656
P 0.750 0.962 0.996
P 0.250 0.604 0.268
P 0.750 0.290 0.168
P 0.356 0.075 0.739
P 0.750 0.525 0.033
P 0.250 0.210 0.668
P 0.144 0.575 0.761
P 0.250 0.104 0.232
P 0.356 0.234 0.156
P 0.856 0.425 0.239
P 0.144 0.234 0.156
P 0.856 0.766 0.844
P 0.644 0.425 0.239
P 0.250 0.975 0.533
P 0.250 0.710 0.832
P 0.750 0.396 0.732
P 0.356 0.734 0.344
P 0.750 0.025 0.467
P 0.856 0.266 0.656
P 0.144 0.734 0.344
P 0.356 0.575 0.761
P 0.750 0.896 0.768
P 0.250 0.475 0.967
P 0.750 0.462 0.504
P 0.250 0.538 0.496
P 0.644 0.766 0.844
P 0.644 0.925 0.261
```

No. 2
Density functional theory data (GGA-PBE) for a relaxed P3Se crystal. Values from VASP.

The spin magnetization is 0.000 μB/atom. For the energy above the most stable polymorph in this dataset, the calculation gives 351 meV per atom.

The structure in Quantum ESPRESSO input format:
```
&SYSTEM
  ibrav = 0, nat = 8, ntyp = 2
/
ATOMIC_SPECIES
P 30.97 P.upf
Se 78.96 Se.upf
CELL_PARAMETERS angstrom
-1.678 1.678 14.801
1.678 -1.678 14.801
1.678 1.678 -14.801
ATOMIC_POSITIONS crystal
P 0.828 0.828 0.000
P 0.750 0.250 0.500
P 0.172 0.172 0.000
P 0.250 0.750 0.500
P 0.500 0.000 0.500
P 0.000 0.500 0.500
Se 0.638 0.638 0.000
Se 0.362 0.362 0.000
```

No. 3
Density functional theory data (GGA-PBE) for a relaxed P3Se crystal. Values from VASP.

The spin magnetization is 0.000 μB/atom. For the energy above the most stable polymorph in this dataset, the calculation gives 215 meV per atom.

The structure in Quantum ESPRESSO input format:
```
&SYSTEM
  ibrav = 0, nat = 16, ntyp = 2
/
ATOMIC_SPECIES
Se 78.96 Se.upf
P 30.97 P.upf
CELL_PARAMETERS angstrom
8.766 0.000 0.000
0.000 5.926 0.000
0.000 0.000 6.979
ATOMIC_POSITIONS crystal
Se 0.440 0.100 0.250
Se 0.940 0.400 0.750
Se 0.060 0.600 0.250
Se 0.560 0.900 0.750
P 0.659 0.555 0.250
P 0.650 0.228 0.066
P 0.350 0.772 0.566
P 0.350 0.772 0.934
P 0.341 0.445 0.750
P 0.850 0.728 0.066
P 0.159 0.945 0.750
P 0.150 0.272 0.934
P 0.650 0.228 0.434
P 0.150 0.272 0.566
P 0.850 0.728 0.434
P 0.841 0.055 0.250
```

No. 4
Density functional theory data (GGA-PBE) for a relaxed P4Se crystal. Values from VASP.

The spin magnetization is 0.000 μB/atom. For the energy above the most stable polymorph in this dataset, the calculation gives 468 meV per atom.

The structure in Quantum ESPRESSO input format:
```
&SYSTEM
  ibrav = 0, nat = 5, ntyp = 2
/
ATOMIC_SPECIES
P 30.97 P.upf
Se 78.96 Se.upf
CELL_PARAMETERS angstrom
4.731 0.000 0.000
0.000 4.731 0.000
0.000 0.000 4.731
ATOMIC_POSITIONS crystal
P 0.500 0.500 0.000
P 0.000 0.500 0.500
P 0.000 0.000 0.000
P 0.500 0.000 0.500
Se 0.500 0.500 0.500
```

Number 4 is which compound? P4Se

spin magnetization of number 2 (P3Se)? 0.000 μB/atom